{"formula": "In3H2I4", "functional": "PBE", "state": "relaxed", "n_ef_per_ev_cell": 2.13, "dft_energy_ev_per_cell": -43.5, "cell": [[8.2200, -0.0040, -0.5715], [-0.2996, 8.1105, -4.3656], [0.0639, 0.0443, 9.8051]], "species": ["I", "I", "I", "H", "I", "I", "H", "I", "H", "I", "In", "In", "I", "In", "In", "In", "In", "H"], "frac_coords": [[0.3224, 0.7138, 0.4100], [0.8224, 0.6962, 0.4100], [0.5116, 0.2581, 0.0947], [0.5715, 0.7009, 0.4074], [0.4884, 0.7419, 0.9053], [0.6776, 0.2862, 0.5900], [0.4285, 0.2991, 0.5926], [0.0116, 0.8366, 0.0947], [0.0715, 0.7065, 0.4074], [0.9884, 0.1634, 0.9053], [0.2500, 0.4862, 0.0000], [0.7500, 0.5138, 0.0000], [0.1776, 0.3038, 0.5900], [0.3751, 0.0104, 0.2588], [0.1249, 0.7516, 0.7412], [0.6249, 0.9896, 0.7412], [0.8751, 0.2484, 0.2588], [0.9285, 0.2935, 0.5926]]}

{"formula": "HoErTm6", "functional": "PBE", "state": "relaxed", "n_ef_per_ev_cell": 13.10, "ef_mev_per_atom": 224, "cell": [[6.4245, -0.8185, -1.3313], [-3.1499, 5.6588, -1.3313], [-1.7462, -2.5811, 8.6972]], "species": ["Tm", "Tm", "Tm", "Ho", "Tm", "Tm", "Er", "Tm"], "frac_coords": [[0.7980, 0.3268, 0.7500], [0.6732, 0.2020, 0.2500], [0.2020, 0.6732, 0.2500], [0.0000, 0.0000, 0.0000], [0.3268, 0.7980, 0.7500], [0.2423, 0.2423, 0.7496], [0.5000, 0.5000, 0.5000], [0.7577, 0.7577, 0.2504]]}

{"formula": "YTe2Mo", "functional": "PBE", "state": "relaxed", "n_ef_per_ev_cell": 2.50, "formation_energy_uncorrected_ev_per_atom": -0.295, "cell": [[-3.4618, -1.9321, 3.1244], [-4.5152, -1.3848, -1.7816], [-1.2079, -4.8926, -0.2864]], "species": ["Te", "Y", "Te", "Mo"], "frac_coords": [[0.7500, 0.7500, 0.7500], [0.0000, 0.0000, 0.0000], [0.2500, 0.2500, 0.2500], [0.5000, 0.5000, 0.5000]]}

{"formula": "Zn2Cd2Ag", "functional": "PBE", "state": "relaxed", "n_ef_per_ev_cell": 1.46, "ef_mev_per_atom": 27, "cell": [[-2.9386, -0.4278, -0.7641], [-0.5636, -2.4839, 3.5583], [-1.4640, 6.7995, 1.8239]], "species": ["Cd", "Zn", "Ag", "Zn", "Cd"], "frac_coords": [[0.5000, 0.3892, 0.7784], [0.0000, 0.1999, 0.3999], [0.0000, 0.0000, 0.0000], [0.0000, 0.8001, 0.6001], [0.5000, 0.6108, 0.2216]]}

{"formula": "Pm8SiNi3Br4", "functional": "PBE", "state": "relaxed", "n_ef_per_ev_cell": 12.21, "formation_energy_uncorrected_ev_per_atom": -0.831, "cell": [[8.2093, 0.0000, 0.0000], [0.0000, 8.9101, 0.4899], [-4.1046, -4.1046, 5.8076]], "species": ["Br", "Br", "Br", "Pm", "Ni", "Pm", "Si", "Pm", "Br", "Ni", "Pm", "Pm", "Ni", "Pm", "Pm", "Pm"], "frac_coords": [[0.5000, 0.0000, 0.5000], [0.0000, 0.0000, 0.5000], [0.5000, 0.0000, 0.0000], [0.2393, 0.7026, 0.9638], [0.0000, 0.5000, 0.5000], [0.7310, 0.6927, 0.4620], [0.0000, 0.5000, 0.0000], [0.2755, 0.2974, 0.0362], [0.0000, 0.0000, 0.0000], [0.5000, 0.5000, 0.5000], [0.2690, 0.3073, 0.5380], [0.7245, 0.7026, 0.9638], [0.5000, 0.5000, 0.0000], [0.7609, 0.2976, 0.5218], [0.2391, 0.7024, 0.4782], [0.7607, 0.2974, 0.0362]]}

{"formula": "Be2CuAgH", "functional": "PBE", "state": "relaxed", "n_ef_per_ev_cell": 0.97, "dft_energy_ev_per_cell": -16.0, "cell": [[3.6856, 0.0000, 0.0000], [0.0000, 3.7026, 0.0000], [0.0000, 0.0000, 3.6856]], "species": ["Be", "H", "Be", "Ag", "Cu"], "frac_coords": [[0.5000, 0.0000, 0.0000], [0.0000, 0.0000, 0.0000], [0.0000, 0.0000, 0.5000], [0.0000, 0.5000, 0.0000], [0.5000, 0.5000, 0.5000]]}

{"formula": "Li2TlIn", "functional": "PBE", "state": "relaxed", "n_ef_per_ev_cell": 1.26, "ef_mev_per_atom": -183, "cell": [[4.9648, 0.0000, 0.0000], [2.4824, 4.2997, 0.0000], [2.4824, 1.4332, 4.0538]], "species": ["Tl", "In", "Li", "Li"], "frac_coords": [[0.7500, 0.7500, 0.7500], [0.5000, 0.5000, 0.5000], [0.0000, 0.0000, 0.0000], [0.2500, 0.2500, 0.2500]]}

{"formula": "Ho6OsPd5", "functional": "PBE", "state": "relaxed", "n_ef_per_ev_cell": 5.61, "ef_mev_per_atom": -809, "cell": [[-0.1825, 1.8343, 4.5797], [-3.7188, -5.4370, 2.0295], [6.1251, -2.7013, 3.9869]], "species": ["Ho", "Ho", "Pd", "Ho", "Pd", "Pd", "Ho", "Ho", "Os", "Pd", "Ho", "Pd"], "frac_coords": [[0.5000, 0.2428, 0.0000], [0.5000, 0.7572, 0.0000], [0.0000, 0.5000, 0.0000], [0.8372, 0.2467, 0.3256], [0.6674, 0.5000, 0.6652], [0.3307, 0.0000, 0.3387], [0.1628, 0.2467, 0.6744], [0.8372, 0.7533, 0.3256], [0.0000, 0.0000, 0.0000], [0.6693, 0.0000, 0.6613], [0.1628, 0.7533, 0.6744], [0.3326, 0.5000, 0.3348]]}

{"formula": "CuSb6Ru", "functional": "PBE", "state": "relaxed", "n_ef_per_ev_cell": 5.96, "formation_energy_uncorrected_ev_per_atom": -0.066, "cell": [[7.6939, -0.0458, -2.7191], [-3.8203, 6.6867, -2.6990], [-0.0227, -0.0073, 8.1383]], "species": ["Sb", "Sb", "Sb", "Sb", "Sb", "Sb", "Ru", "Cu", "Sb", "Cu", "Sb", "Sb", "Sb", "Ru", "Sb", "Sb"], "frac_coords": [[0.3373, 0.4964, 0.1522], [0.1579, 0.3480, 0.5059], [0.6627, 0.5036, 0.8478], [0.4973, 0.1529, 0.3378], [0.5027, 0.8471, 0.6622], [0.1535, 0.6660, 0.8195], [0.0000, 0.5000, 0.0000], [0.0000, 0.0000, 0.5000], [0.8151, 0.1595, 0.6622], [0.5000, 0.5000, 0.5000], [0.8421, 0.6520, 0.4941], [0.8465, 0.3340, 0.1805], [0.3443, 0.1851, 0.8478], [0.5000, 0.0000, 0.0000], [0.1849, 0.8405, 0.3378], [0.6557, 0.8149, 0.1522]]}

{"formula": "Ba3Tl2Zn2", "functional": "PBE", "state": "relaxed", "n_ef_per_ev_cell": 6.02, "ef_mev_per_atom": -280, "cell": [[-0.3552, -1.7789, 4.1745], [-3.3766, -4.1623, -4.5424], [8.9989, -1.6640, 0.0566]], "species": ["Ba", "Tl", "Ba", "Ba", "Zn", "Tl", "Zn"], "frac_coords": [[0.3140, 0.6281, 0.3460], [0.9716, 0.9433, 0.6664], [0.6860, 0.3719, 0.6540], [0.5000, 0.0000, 0.0000], [0.8003, 0.6006, 0.0572], [0.0284, 0.0567, 0.3336], [0.1997, 0.3994, 0.9428]]}

{"formula": "FeSbPd", "functional": "PBE", "state": "relaxed", "n_ef_per_ev_cell": 4.80, "formation_energy_uncorrected_ev_per_atom": -0.059, "cell": [[3.2084, 0.0000, 0.0000], [0.0000, 7.2997, 0.0000], [0.0000, 0.0000, 4.2065]], "species": ["Fe", "Pd", "Sb", "Pd", "Sb", "Fe"], "frac_coords": [[0.0000, 0.5397, 0.5000], [0.5000, 0.8868, 0.5000], [0.5000, 0.2552, 0.5000], [0.0000, 0.1132, 0.0000], [0.0000, 0.7448, 0.0000], [0.5000, 0.4603, 0.0000]]}

{"formula": "EuScHgBi", "functional": "PBE", "state": "relaxed", "n_ef_per_ev_cell": 4.35, "ef_mev_per_atom": -472, "cell": [[5.3628, 0.0000, 0.0000], [2.6814, 4.6443, 0.0000], [2.6814, 1.5481, 4.3787]], "species": ["Bi", "Sc", "Eu", "Hg"], "frac_coords": [[0.5000, 0.5000, 0.5000], [0.7500, 0.7500, 0.7500], [0.2500, 0.2500, 0.2500], [0.0000, 0.0000, 0.0000]]}